## HfTiAs2Se (PBE)

Data for crystalline HfTiAs2Se at its relaxed geometry.

Properties
SG   P4/mmm
Formation energy without anion corrections   641 meV per atom

abc: 5.003 5.204 5.003
angles: 90.00 90.00 90.00
Atoms (fractional coordinates):
Ti 0.000 0.500 0.000
Hf 0.000 0.000 0.000
Se 0.500 0.500 0.500
As 0.500 0.000 0.000
As 0.000 0.000 0.500

***

## TiNb2BiIr (PBE)

Data for crystalline TiNb2BiIr at its relaxed geometry.

Properties
SG   P4/mmm
Formation energy from the elements   0.4939 eV/atom

abc: 4.939 4.765 4.939
angles: 90.00 90.00 90.00
Atoms (fractional coordinates):
Bi 0.500 0.500 0.500
Nb 0.500 0.000 0.000
Nb 0.000 0.000 0.500
Ir 0.000 0.000 0.000
Ti 0.000 0.500 0.000

***

## K2InBr (PBE)

Data for crystalline K2InBr at its relaxed geometry.

Properties
SG   F-43m
Formation energy without anion corrections   -355 meV per atom

abc: 6.116 6.116 6.116
angles: 60.00 60.00 60.00
Atoms (fractional coordinates):
In 0.750 0.750 0.750
K 0.000 0.000 0.000
Br 0.500 0.500 0.500
K 0.250 0.250 0.250

***

## Sr2SmGa3Au12 (PBE)

Data for crystalline Sr2SmGa3Au12 at its relaxed geometry.

Properties
SG   R-3m
Formation energy from the elements   -0.2938 eV/atom

abc: 11.089 11.089 11.089
angles: 36.46 36.46 36.46
Atoms (fractional coordinates):
Au 0.592 0.592 0.185
Au 0.869 0.869 0.441
Au 0.408 0.408 0.815
Ga 0.000 0.500 0.000
Au 0.592 0.185 0.592
Au 0.131 0.131 0.559
Ga 0.000 0.000 0.500
Au 0.815 0.408 0.408
Au 0.869 0.441 0.869
Au 0.408 0.815 0.408
Au 0.559 0.131 0.131
Au 0.131 0.559 0.131
Sm 0.000 0.000 0.000
Au 0.185 0.592 0.592
Ga 0.500 0.000 0.000
Sr 0.637 0.637 0.637
Sr 0.363 0.363 0.363
Au 0.441 0.869 0.869

***

## Ce3DyRu4 (PBE)

Data for crystalline Ce3DyRu4 at its relaxed geometry.

Properties
SG   C2/m
Formation energy from the elements   -0.3356 eV/atom

abc: 4.813 4.812 8.596
angles: 70.88 70.86 63.82
Atoms (fractional coordinates):
Ru 0.100 0.099 0.626
Dy 0.000 0.000 0.000
Ce 0.748 0.747 0.753
Ru 0.900 0.901 0.374
Ru 0.590 0.590 0.144
Ce 0.500 0.500 0.500
Ce 0.252 0.253 0.247
Ru 0.410 0.410 0.856

***

## La2Ru (PBE)

Data for crystalline La2Ru at its relaxed geometry.

Properties
SG   Fm-3m
Formation energy from the elements   -0.2012 eV/atom

abc: 4.982 4.982 4.982
angles: 60.00 60.00 60.00
Atoms (fractional coordinates):
La 0.750 0.750 0.750
Ru 0.000 0.000 0.000
La 0.250 0.250 0.250

***

Please write out number 4 again, unchanged.
## Sr2SmGa3Au12 (PBE)

Data for crystalline Sr2SmGa3Au12 at its relaxed geometry.

Properties
SG   R-3m
Formation energy from the elements   -0.2938 eV/atom

abc: 11.089 11.089 11.089
angles: 36.46 36.46 36.46
Atoms (fractional coordinates):
Au 0.592 0.592 0.185
Au 0.869 0.869 0.441
Au 0.408 0.408 0.815
Ga 0.000 0.500 0.000
Au 0.592 0.185 0.592
Au 0.131 0.131 0.559
Ga 0.000 0.000 0.500
Au 0.815 0.408 0.408
Au 0.869 0.441 0.869
Au 0.408 0.815 0.408
Au 0.559 0.131 0.131
Au 0.131 0.559 0.131
Sm 0.000 0.000 0.000
Au 0.185 0.592 0.592
Ga 0.500 0.000 0.000
Sr 0.637 0.637 0.637
Sr 0.363 0.363 0.363
Au 0.441 0.869 0.869